1.
Li2Pd15Pb2 PBE optimized geometry; space-group type = R-3m (166); calculated volume = 330 Å³/cell; uncorrected energy = -4.784 eV per atom
1.0
6.8512 -0.2259 1.3420
1.0613 6.7723 1.3420
-0.2730 -0.2259 6.9761
Li Pd Pb
2 15 2
Cartesian
6.8937 5.7034 8.7170
0.7458 0.6171 0.9431
0.5307 3.3861 0.6710
-0.1365 -0.1129 3.4880
3.4256 -0.1129 0.6710
2.0549 -0.2259 5.1351
4.9593 2.0608 1.3420
0.6253 4.4856 3.1830
2.9532 4.4856 1.3420
0.1630 2.0608 5.1351
4.5233 -0.2259 3.1830
3.0955 5.5037 3.9142
2.4293 2.0099 6.7270
5.9860 2.0099 3.9142
4.5441 0.8169 5.7460
5.2102 4.3106 2.9332
1.6535 4.3106 5.7460
5.0199 4.1532 6.3476
2.6196 2.1674 3.3125

=====

2.
K2TlSb4Au3 PBE optimized geometry; space-group type = P-4m2 (115); formation energy from raw total energies = -0.245 eV per atom; calculated volume = 286 Å³/cell
1.0
4.9895 0.0000 0.0000
0.0000 4.9895 0.0000
0.0000 0.0000 11.4820
K Tl Sb Au
2 1 4 3
Cartesian
2.4947 0.0000 2.8695
0.0000 2.4947 8.6125
2.4947 2.4947 5.7410
2.4947 2.4947 0.0000
0.0000 0.0000 0.0000
2.4947 0.0000 7.3627
0.0000 2.4947 4.1193
0.0000 0.0000 5.7410
2.4947 0.0000 10.0994
0.0000 2.4947 1.3826

=====

3.
LaCe3Dy2Sb6 PBE optimized geometry; space-group type = C2/m (12); formation energy from raw total energies = -1.107 eV per atom; calculated volume = 383 Å³/cell
1.0
-0.1117 7.7454 -0.5845
-6.5841 -4.0499 -0.7704
1.0686 -0.7072 7.6654
La Ce Dy Sb
1 3 2 6
Cartesian
0.0000 0.0000 0.0000
-4.9896 -2.4714 3.0928
-0.6376 5.4597 3.2177
-2.8136 1.4942 3.1553
-4.4333 -0.1303 -0.7086
-2.2625 3.8258 -0.6463
-3.0916 4.2365 4.7741
-4.6960 2.5629 0.8819
-2.5356 -1.2481 1.5364
-5.2971 0.2172 4.7107
-0.9312 0.4254 5.4286
-0.3301 2.7712 1.5998

=====

4.
Li3CrTe PBE optimized geometry; E above lowest polymorph = 0 kJ/mol of formula units; space-group type = Pm-3m (221); formation energy from raw total energies = 0.107 eV per atom; calculated volume = 141 Å³/cell
1.0
5.2027 0.0000 0.0000
0.0000 5.2027 0.0000
0.0000 0.0000 5.2027
Cr Te Li
1 1 3
Cartesian
2.6014 2.6014 2.6014
0.0000 0.0000 0.0000
0.0000 2.6014 0.0000
0.0000 0.0000 2.6014
2.6014 0.0000 0.0000

=====

5.
Y5ErTm6 PBE optimized geometry; space-group type = C2/m (12); calculated volume = 371 Å³/cell; uncorrected energy = -5.280 eV per atom
1.0
11.6137 -1.3056 0.0000
1.7255 5.8585 0.0000
0.8628 2.9293 5.2814
Y Er Tm
5 1 6
Cartesian
6.6696 2.2765 3.5213
0.8628 2.9293 1.7609
6.6696 2.2765 0.0000
1.7255 5.8585 3.5205
7.5324 5.2057 1.7601
0.0000 0.0000 0.0000
9.1478 0.4794 1.7563
4.1914 4.0736 1.7563
3.3260 1.1370 0.0000
10.0132 3.4160 0.0000
10.0105 3.4086 3.5251
5.0542 7.0028 3.5251

=====

6.
NiBi2H PBE optimized geometry; E above lowest polymorph = 40 kJ/mol of formula units; space-group type = I-42d (122); calculated volume = 175 Å³/cell
1.0
-0.6196 -4.5498 2.0451
4.7687 -1.1450 -1.1026
4.0893 -0.3642 6.6062
Ni Bi H
2 4 2
Cartesian
0.0000 0.0000 0.0000
2.7721 -3.8807 4.5612
1.2476 -2.9574 2.7378
3.9089 -1.4958 1.2721
4.7491 -2.4390 5.2789
6.5713 -5.2258 5.8084
2.0746 -2.8474 0.4712
5.4663 -2.1783 2.9874

=====

7.
Zn3GaS4 PBE optimized geometry; space-group type = I-42m (121); formation energy from raw total energies = -0.625 eV per atom; calculated volume = 171 Å³/cell
1.0
-5.3416 -1.0729 1.1245
1.5326 -2.9675 4.4489
1.6473 6.5837 0.3459
Zn Ga S
3 1 4
Cartesian
-1.9045 -2.0202 2.7867
-2.7994 1.7453 2.1285
0.6377 0.7980 3.7907
0.0000 0.0000 0.0000
-1.0625 0.1230 2.2672
-2.8793 -1.8042 4.9256
1.4487 2.9320 3.1157
-1.8302 3.8357 1.5300

=====

8.
CeDyHoMg PBE optimized geometry; space-group type = F-43m (216); calculated volume = 117 Å³/cell; uncorrected energy = -4.086 eV per atom
1.0
5.4930 0.0000 0.0000
2.7465 4.7570 0.0000
2.7465 1.5857 4.4850
Mg Ho Ce Dy
1 1 1 1
Cartesian
0.0000 0.0000 0.0000
5.4930 3.1714 2.2425
8.2394 4.7570 3.3637
2.7465 1.5857 1.1212

=====

9.
YV3Ir PBE optimized geometry; E above lowest polymorph = 765 kJ/mol of formula units; space-group type = Pm-3m (221); calculated volume = 89 Å³/cell
1.0
4.4608 0.0000 0.0000
0.0000 4.4608 0.0000
0.0000 0.0000 4.4608
Y Ir V
1 1 3
Cartesian
0.0000 0.0000 0.0000
2.2304 2.2304 2.2304
0.0000 2.2304 0.0000
0.0000 0.0000 2.2304
2.2304 0.0000 0.0000

=====

10.
YTc2Bi2 PBE optimized geometry; E above lowest polymorph = 95 kJ/mol of formula units; space-group type = P4/mbm (127); calculated volume = 217 Å³/cell
1.0
-2.4054 0.7410 -7.7025
-6.9478 -3.7579 1.8082
-1.3873 2.9080 0.7130
Y Bi Tc
2 4 4
Cartesian
0.0000 0.0000 0.0000
-4.6766 -1.5085 -2.9471
-6.7523 -2.9364 -1.1619
-6.5583 -1.8105 -5.3766
-2.6009 -0.0805 -4.7324
-2.7949 -1.2064 -0.5176
-5.4925 -0.8523 0.4257
-8.2007 -1.2961 -3.0337
-5.2481 0.7434 -5.6069
-2.5398 1.1872 -2.1475

=====

11.
TaInTe2 PBE optimized geometry; space-group type = R-3m (166); formation energy from raw total energies = 0.487 eV per atom; calculated volume = 105 Å³/cell
1.0
1.8470 0.0000 11.8836
-0.9235 1.5995 11.8836
-0.9235 -1.5995 11.8836
Te In Ta
2 1 1
Cartesian
0.0000 0.0000 32.8352
0.0000 0.0000 2.8156
0.0000 0.0000 17.8254
0.0000 0.0000 0.0000

=====

12.
La3TePdCl PBE optimized geometry; space-group type = P2_1/m (11); formation energy from raw total energies = -1.256 eV per atom; calculated volume = 363 Å³/cell
1.0
4.1855 0.0000 0.0000
0.0000 7.6310 -0.1646
0.0000 -2.0800 11.4060
La Te Pd Cl
6 2 2 2
Cartesian
3.1391 -0.0145 1.6459
1.0464 5.5655 9.5955
1.0464 4.4669 5.4853
3.1391 1.0841 5.7561
3.1391 3.8386 1.7321
1.0464 1.7124 9.5093
1.0464 1.9222 3.4798
3.1391 3.6288 7.7616
1.0464 5.7001 0.4858
3.1391 -0.1491 10.7556
1.0464 -0.4858 7.1601
3.1391 6.0368 4.0813